1.
Computed, not measured: an optimized crystal structure of ScGa2Ni4 at the PBE-GGA level of DFT.

Unit cell a=7.0178 b=7.0178 c=3.8815 alpha=90.00 beta=90.00 gamma=90.00
Space group P4_2/mnm (No. 136)
Symmetry-distinct sites (fractional):
Sc: 0.0000 0.0000 0.0000 (multiplicity 2)
Ga: 0.2153 0.2153 0.5000 (multiplicity 4)
Ni: 0.0971 0.6450 0.5000 (multiplicity 8)

Relative energy among the computed polymorphs ... 0 meV/atom

---

2.
Computed, not measured: an optimized crystal structure of Sc12GaNi6 at the PBE-GGA level of DFT.

Unit cell a=8.9866 b=8.9866 c=8.9866 alpha=90.00 beta=90.00 gamma=90.00
Space group Im-3 (No. 204)
Symmetry-distinct sites (fractional):
Sc: 0.0000 0.1868 0.2946 (multiplicity 24)
Ga: 0.0000 0.0000 0.0000 (multiplicity 2)
Ni: 0.0000 0.3678 0.5000 (multiplicity 12)

---

3.
Computed, not measured: an optimized crystal structure of ScGa3Ni2 at the PBE-GGA level of DFT.

Unit cell a=16.9499 b=4.0557 c=9.1423 alpha=90.00 beta=120.43 gamma=90.00
Space group C2/m (No. 12)
Symmetry-distinct sites (fractional):
Sc: 0.0000 0.0000 0.0000 (multiplicity 2)
Sc: 0.1706 0.0000 0.6843 (multiplicity 4)
Ga: 0.0000 0.5000 0.5000 (multiplicity 2)
Ga: 0.0223 0.0000 0.3315 (multiplicity 4)
Ga: 0.1253 0.5000 0.1627 (multiplicity 4)
Ga: 0.1898 0.5000 0.9271 (multiplicity 4)
Ga: 0.2089 0.0000 0.3755 (multiplicity 4)
Ni: 0.0348 0.5000 0.8434 (multiplicity 4)
Ni: 0.1249 0.5000 0.4318 (multiplicity 4)
Ni: 0.1656 0.0000 0.0586 (multiplicity 4)

---

4.
Computed, not measured: an optimized crystal structure of ScGa2Ni4 at the PBE-GGA level of DFT.

Unit cell a=4.9294 b=8.3271 c=9.1119 alpha=90.00 beta=90.00 gamma=90.00
Space group Fmmm (No. 69)
Symmetry-distinct sites (fractional):
Sc: 0.0000 0.0000 0.0000 (multiplicity 4)
Ga: 0.0000 0.0000 0.3155 (multiplicity 8)
Ni: 0.0000 0.1984 0.5000 (multiplicity 8)
Ni: 0.2500 0.2500 0.2500 (multiplicity 8)

Relative energy among the computed polymorphs ... 12 meV/atom

---

5.
Computed, not measured: an optimized crystal structure of Sc2GaNi at the PBE-GGA level of DFT.

Unit cell a=3.1009 b=3.1009 c=27.6012 alpha=90.00 beta=90.00 gamma=120.00
Space group R-3m (No. 166, hexagonal axes)
Symmetry-distinct sites (fractional):
Sc: 0.0000 0.0000 0.0860 (multiplicity 6)
Ga: 0.0000 0.0000 0.5000 (multiplicity 3)
Ni: 0.0000 0.0000 0.0000 (multiplicity 3)

---

6.
Computed, not measured: an optimized crystal structure of Sc4GaNi at the PBE-GGA level of DFT.

Unit cell a=4.8386 b=6.3152 c=7.9093 alpha=90.00 beta=98.14 gamma=90.00
Space group P2_1/m (No. 11)
Symmetry-distinct sites (fractional):
Sc: 0.1669 0.2500 0.0632 (multiplicity 2)
Sc: 0.2259 0.7500 0.3874 (multiplicity 2)
Sc: 0.3115 0.5092 0.7531 (multiplicity 4)
Ga: 0.2302 0.2500 0.4217 (multiplicity 2)
Ni: 0.3342 0.7500 0.0613 (multiplicity 2)

Relative energy among the computed polymorphs ... 0 meV/atom

---

7.
Computed, not measured: an optimized crystal structure of ScGa5Ni7 at the PBE-GGA level of DFT.

Unit cell a=5.0488 b=8.4784 c=8.0641 alpha=90.00 beta=90.00 gamma=90.00
Space group Imm2 (No. 44)
Symmetry-distinct sites (fractional):
Sc: 0.0000 0.0000 0.0000 (multiplicity 2)
Ga: 0.0000 0.5000 0.2855 (multiplicity 2)
Ga: 0.2474 0.2629 0.7383 (multiplicity 8)
Ni: 0.0000 0.0000 0.3461 (multiplicity 2)
Ni: 0.0000 0.0000 0.6545 (multiplicity 2)
Ni: 0.0000 0.2759 0.4856 (multiplicity 4)
Ni: 0.0000 0.3523 0.9954 (multiplicity 4)
Ni: 0.0000 0.5000 0.7012 (multiplicity 2)

---

8.
Computed, not measured: an optimized crystal structure of Sc4GaNi at the PBE-GGA level of DFT.

Unit cell a=8.1601 b=12.3919 c=5.3609 alpha=90.00 beta=113.67 gamma=90.00
Space group C2/c (No. 15)
Symmetry-distinct sites (fractional):
Sc: 0.1169 0.1761 0.0732 (multiplicity 8)
Sc: 0.2094 0.4281 0.3283 (multiplicity 8)
Ga: 0.0000 0.3715 0.7500 (multiplicity 4)
Ni: 0.0000 0.0008 0.2500 (multiplicity 4)

Relative energy among the computed polymorphs ... 24 meV/atom

---

9.
Computed, not measured: an optimized crystal structure of Sc2GaNi at the PBE-GGA level of DFT.

Unit cell a=3.3250 b=3.3250 c=14.5582 alpha=90.00 beta=90.00 gamma=90.00
Space group I4/mmm (No. 139)
Symmetry-distinct sites (fractional):
Sc: 0.0000 0.0000 0.1729 (multiplicity 4)
Ga: 0.0000 0.0000 0.5000 (multiplicity 2)
Ni: 0.0000 0.0000 0.0000 (multiplicity 2)

---

10.
Computed, not measured: an optimized crystal structure of Sc3Ga7Ni2 at the PBE-GGA level of DFT.

Unit cell a=4.0550 b=3.9664 c=12.8552 alpha=90.00 beta=98.93 gamma=90.00
Space group P2/m (No. 10)
Symmetry-distinct sites (fractional):
Sc: 0.0000 0.0000 0.0000 (multiplicity 1)
Sc: 0.3182 0.5000 0.6391 (multiplicity 2)
Ga: 0.0825 0.5000 0.1655 (multiplicity 2)
Ga: 0.2228 0.0000 0.4450 (multiplicity 2)
Ga: 0.4175 0.0000 0.8318 (multiplicity 2)
Ga: 0.5000 0.5000 0.0000 (multiplicity 1)
Ni: 0.1294 0.0000 0.2640 (multiplicity 2)

---

11.
Computed, not measured: an optimized crystal structure of ScGa3Ni2 at the PBE-GGA level of DFT.

Unit cell a=5.6513 b=5.6513 c=19.6112 alpha=90.00 beta=90.00 gamma=120.00
Space group R-3m (No. 166, hexagonal axes)
Symmetry-distinct sites (fractional):
Sc: 0.0000 0.0000 0.2164 (multiplicity 6)
Ga: 0.0050 0.5025 0.2375 (multiplicity 18)
Ni: 0.0000 0.0000 0.0000 (multiplicity 3)
Ni: 0.0000 0.5000 0.0000 (multiplicity 9)

---

12.
Computed, not measured: an optimized crystal structure of ScGa2Ni at the PBE-GGA level of DFT.

Unit cell a=3.0310 b=3.0310 c=6.7614 alpha=90.00 beta=90.00 gamma=90.00
Space group P4/mmm (No. 123)
Symmetry-distinct sites (fractional):
Sc: 0.0000 0.0000 0.0000 (multiplicity 1)
Ga: 0.5000 0.5000 0.2955 (multiplicity 2)
Ni: 0.0000 0.0000 0.5000 (multiplicity 1)

---

13.
Computed, not measured: an optimized crystal structure of Sc2GaNi at the PBE-GGA level of DFT.

Unit cell a=7.1937 b=7.1937 c=5.9413 alpha=90.00 beta=90.00 gamma=90.00
Space group I-42d (No. 122)
Symmetry-distinct sites (fractional):
Sc: 0.2112 0.2500 0.1250 (multiplicity 8)
Ga: 0.0000 0.0000 0.5000 (multiplicity 4)
Ni: 0.0000 0.0000 0.0000 (multiplicity 4)

---

14.
Computed, not measured: an optimized crystal structure of Sc11Ga9Ni4 at the PBE-GGA level of DFT.

Unit cell a=13.1066 b=19.7008 c=3.2957 alpha=90.00 beta=90.00 gamma=90.00
Space group Cmmm (No. 65)
Symmetry-distinct sites (fractional):
Sc: 0.0000 0.0000 0.0000 (multiplicity 2)
Sc: 0.0000 0.1620 0.0000 (multiplicity 4)
Sc: 0.0000 0.3720 0.0000 (multiplicity 4)
Sc: 0.1935 0.5000 0.0000 (multiplicity 4)
Sc: 0.2404 0.1716 0.0000 (multiplicity 8)
Ga: 0.0000 0.5000 0.5000 (multiplicity 2)
Ga: 0.1048 0.2650 0.5000 (multiplicity 8)
Ga: 0.1461 0.0711 0.5000 (multiplicity 8)
Ni: 0.1537 0.3982 0.5000 (multiplicity 8)

---

15.
Computed, not measured: an optimized crystal structure of Sc2GaNi2 at the PBE-GGA level of DFT.

Unit cell a=3.3333 b=3.3333 c=15.6534 alpha=90.00 beta=90.00 gamma=90.00
Space group I4/mmm (No. 139)
Symmetry-distinct sites (fractional):
Sc: 0.0000 0.0000 0.1181 (multiplicity 4)
Ga: 0.0000 0.0000 0.5000 (multiplicity 2)
Ni: 0.0000 0.5000 0.2500 (multiplicity 4)

---

16.
Computed, not measured: an optimized crystal structure of Sc2GaNi at the PBE-GGA level of DFT.

Unit cell a=3.2719 b=3.2719 c=6.5328 alpha=90.00 beta=90.00 gamma=90.00
Space group P4/mmm (No. 123)
Symmetry-distinct sites (fractional):
Sc: 0.0000 0.0000 0.2318 (multiplicity 2)
Ga: 0.5000 0.5000 0.5000 (multiplicity 1)
Ni: 0.5000 0.5000 0.0000 (multiplicity 1)

---

17.
Computed, not measured: an optimized crystal structure of Sc3GaNi at the PBE-GGA level of DFT.

Unit cell a=4.8181 b=4.8181 c=4.8181 alpha=90.00 beta=90.00 gamma=90.00
Space group Pm-3m (No. 221)
Symmetry-distinct sites (fractional):
Sc: 0.0000 0.0000 0.5000 (multiplicity 3)
Ga: 0.5000 0.5000 0.5000 (multiplicity 1)
Ni: 0.0000 0.0000 0.0000 (multiplicity 1)

Relative energy among the computed polymorphs ... 235 meV/atom

---

18.
Computed, not measured: an optimized crystal structure of Sc2GaNi2 at the PBE-GGA level of DFT.

Unit cell a=4.9462 b=4.9462 c=7.1159 alpha=90.00 beta=90.00 gamma=90.00
Space group I4/mmm (No. 139)
Symmetry-distinct sites (fractional):
Sc: 0.0000 0.5000 0.2500 (multiplicity 4)
Ga: 0.0000 0.0000 0.0000 (multiplicity 2)
Ni: 0.0000 0.0000 0.3438 (multiplicity 4)

---

19.
Computed, not measured: an optimized crystal structure of Sc6Ga5Ni at the PBE-GGA level of DFT.

Unit cell a=4.6912 b=14.0763 c=6.7263 alpha=90.00 beta=90.00 gamma=90.00
Space group Cmmm (No. 65)
Symmetry-distinct sites (fractional):
Sc: 0.0000 0.0000 0.2453 (multiplicity 4)
Sc: 0.0000 0.3368 0.2449 (multiplicity 8)
Ga: 0.0000 0.1642 0.0000 (multiplicity 4)
Ga: 0.0000 0.1693 0.5000 (multiplicity 4)
Ga: 0.0000 0.5000 0.5000 (multiplicity 2)
Ni: 0.0000 0.5000 0.0000 (multiplicity 2)

---

20.
Computed, not measured: an optimized crystal structure of ScGa2Ni2 at the PBE-GGA level of DFT.

Unit cell a=7.1622 b=7.1622 c=2.7861 alpha=90.00 beta=90.00 gamma=90.00
Space group P4/mbm (No. 127)
Symmetry-distinct sites (fractional):
Sc: 0.0000 0.0000 0.0000 (multiplicity 2)
Ga: 0.1600 0.3400 0.5000 (multiplicity 4)
Ni: 0.1341 0.6341 0.0000 (multiplicity 4)

---

| no. | VASP energy (eV per atom) |
| --- | --- |
| 1 | -5.50 |
| 2 | -6.38 |
| 3 | -4.95 |
| 4 | -5.49 |
| 5 | -5.29 |
| 6 | -6.06 |
| 7 | -5.07 |
| 8 | -6.04 |
| 9 | -5.46 |
| 10 | -4.85 |
| 11 | -4.87 |
| 12 | -5.01 |
| 13 | -5.50 |
| 14 | -5.64 |
| 15 | -5.75 |
| 16 | -5.93 |
| 17 | -5.68 |
| 18 | -5.80 |
| 19 | -5.48 |
| 20 | -5.22 |